Entry 1:
Density functional theory data (PBE) for GdYMg after structural relaxation.

The structure in CIF format:
```
data_GdYMg
_chemical_formula_sum 'Gd4 Y4 Mg4'
_symmetry_space_group_name_H-M 'C m c m'
_symmetry_Int_Tables_number 63
_symmetry_space_group_name_Hall '-C 2c 2'
_cell_length_a 3.7119
_cell_length_b 17.2318
_cell_length_c 5.4622
_cell_angle_alpha 90.00
_cell_angle_beta 90.00
_cell_angle_gamma 90.00
loop_
_atom_site_label
_atom_site_fract_x
_atom_site_fract_y
_atom_site_fract_z
Gd1 0.0000 0.2265 0.2500
Y1 0.0000 0.0915 0.7500
Mg1 0.0000 0.4342 0.7500
```

Values from the calculation:
Spin magnetization (μB per formula unit): 0.0
Offset from the most stable computed form (meV/atom): 0

=====

Entry 2:
Density functional theory data (PBE) for FeSiB4 after structural relaxation.

The structure in CIF format:
```
data_FeSiB4
_chemical_formula_sum 'Fe1 Si1 B4'
_symmetry_space_group_name_H-M 'P 6/m m m'
_symmetry_Int_Tables_number 191
_symmetry_space_group_name_Hall '-P 6 2'
_cell_length_a 2.9722
_cell_length_b 2.9722
_cell_length_c 6.4066
_cell_angle_alpha 90.00
_cell_angle_beta 90.00
_cell_angle_gamma 120.00
loop_
_atom_site_label
_atom_site_fract_x
_atom_site_fract_y
_atom_site_fract_z
Fe1 0.0000 0.0000 0.0000
Si1 0.0000 0.0000 0.5000
B1 0.3333 0.6667 0.2421
```

Values from the calculation:
Spin magnetization (μB per formula unit): 2.1
Offset from the most stable computed form (meV/atom): 0

=====

Entry 3:
Density functional theory data (PBE) for Li4Ga2IrPt after structural relaxation.

The structure in CIF format:
```
data_Li4Ga2IrPt
_chemical_formula_sum 'Li4 Ga2 Ir1 Pt1'
_symmetry_space_group_name_H-M 'P -4 m 2'
_symmetry_Int_Tables_number 115
_cell_length_a 4.2524
_cell_length_b 4.2524
_cell_length_c 6.0297
_cell_angle_alpha 90.00
_cell_angle_beta 90.00
_cell_angle_gamma 90.00
loop_
_symmetry_equiv_pos_as_xyz
'x,y,z'
'y,-x,-z'
'-x,-y,z'
'-y,x,-z'
'-x,y,z'
'-y,-x,-z'
'x,-y,z'
'y,x,-z'
loop_
_atom_site_label
_atom_site_fract_x
_atom_site_fract_y
_atom_site_fract_z
Li1 0.0000 0.0000 0.0000
Li2 0.0000 0.5000 0.7484
Li3 0.5000 0.5000 0.5000
Ga1 0.0000 0.5000 0.2387
Ir1 0.5000 0.5000 0.0000
Pt1 0.0000 0.0000 0.5000
```

Values from the calculation:
Spin magnetization (μB per formula unit): 0.0

=====

Entry 4:
Density functional theory data (PBE) for HfCdTc2 after structural relaxation.

The structure in CIF format:
```
data_HfCdTc2
_chemical_formula_sum 'Hf4 Cd4 Tc8'
_symmetry_space_group_name_H-M 'F -4 3 m'
_symmetry_Int_Tables_number 216
_symmetry_space_group_name_Hall 'F -4 2 3'
_cell_length_a 6.5071
_cell_length_b 6.5071
_cell_length_c 6.5071
_cell_angle_alpha 90.00
_cell_angle_beta 90.00
_cell_angle_gamma 90.00
loop_
_atom_site_label
_atom_site_fract_x
_atom_site_fract_y
_atom_site_fract_z
Hf1 0.0000 0.0000 0.0000
Cd1 0.2500 0.2500 0.2500
Tc1 0.0000 0.0000 0.5000
Tc2 0.2500 0.2500 0.7500
```

Values from the calculation:
Spin magnetization (μB per formula unit): 0.0
DFT formation energy (eV per atom): 0.2176

=====

Entry 5:
Density functional theory data (PBE) for Sm2DyZn2Si4Au2 after structural relaxation.

The structure in CIF format:
```
data_Sm2DyZn2Si4Au2
_chemical_formula_sum 'Sm4 Dy2 Zn4 Si8 Au4'
_symmetry_space_group_name_H-M 'I m m m'
_symmetry_Int_Tables_number 71
_symmetry_space_group_name_Hall '-I 2 2'
_cell_length_a 4.1739
_cell_length_b 4.2016
_cell_length_c 24.6448
_cell_angle_alpha 90.00
_cell_angle_beta 90.00
_cell_angle_gamma 90.00
loop_
_atom_site_label
_atom_site_fract_x
_atom_site_fract_y
_atom_site_fract_z
Sm1 0.0000 0.0000 0.1440
Dy1 0.0000 0.5000 0.0000
Zn1 0.0000 0.0000 0.4068
Si1 0.0000 0.0000 0.3109
Si2 0.0000 0.5000 0.4528
Au1 0.0000 0.5000 0.2513
```

Values from the calculation:
Spin magnetization (μB per formula unit): 0.0
Offset from the most stable computed form (meV/atom): 50

=====

Entry 6:
Density functional theory data (PBE) for ErSbN2O after structural relaxation.

The structure in CIF format:
```
data_ErSbN2O
_chemical_formula_sum 'Er8 Sb8 N16 O8'
_symmetry_space_group_name_H-M 'P 1 21/c 1'
_symmetry_Int_Tables_number 14
_cell_length_a 8.0515
_cell_length_b 7.7416
_cell_length_c 11.2093
_cell_angle_alpha 90.00
_cell_angle_beta 133.81
_cell_angle_gamma 90.00
loop_
_symmetry_equiv_pos_as_xyz
'x,y,z'
'-x,-y,-z'
'-x,y+1/2,-z+1/2'
'x,-y+1/2,z+1/2'
loop_
_atom_site_label
_atom_site_fract_x
_atom_site_fract_y
_atom_site_fract_z
Er1 0.1522 0.0123 0.2158
Er2 0.2238 0.5012 0.2361
Sb1 0.2880 0.2491 0.0263
Sb2 0.2903 0.7394 0.0130
N1 0.1654 0.0046 0.4783
N2 0.2651 0.5041 0.4648
N3 0.3971 0.2283 0.2536
N4 0.3998 0.7095 0.8934
O1 0.0475 0.6947 0.5334
O2 0.0513 0.2370 0.7588
```

Values from the calculation:
Spin magnetization (μB per formula unit): 0.0

=====

Entry 7:
Density functional theory data (PBE) for PrNdIN after structural relaxation.

The structure in CIF format:
```
data_PrNdIN
_chemical_formula_sum 'Pr2 Nd2 I2 N2'
_symmetry_space_group_name_H-M 'P -6 m 2'
_symmetry_Int_Tables_number 187
_symmetry_space_group_name_Hall 'P -6 2'
_cell_length_a 3.8052
_cell_length_b 3.8052
_cell_length_c 15.3112
_cell_angle_alpha 90.00
_cell_angle_beta 90.00
_cell_angle_gamma 120.00
loop_
_atom_site_label
_atom_site_fract_x
_atom_site_fract_y
_atom_site_fract_z
Pr1 0.0000 0.0000 0.1655
Nd1 0.3333 0.6667 0.3376
I1 0.0000 0.0000 0.5000
I2 0.3333 0.6667 0.0000
N1 0.6667 0.3333 0.2551
```

Values from the calculation:
Spin magnetization (μB per formula unit): 0.0

=====

Entry 8:
Density functional theory data (PBE) for YNi2Ge after structural relaxation.

The structure in CIF format:
```
data_YNi2Ge
_chemical_formula_sum 'Y4 Ni8 Ge4'
_symmetry_space_group_name_H-M 'F -4 3 m'
_symmetry_Int_Tables_number 216
_symmetry_space_group_name_Hall 'F -4 2 3'
_cell_length_a 6.3734
_cell_length_b 6.3734
_cell_length_c 6.3734
_cell_angle_alpha 90.00
_cell_angle_beta 90.00
_cell_angle_gamma 90.00
loop_
_atom_site_label
_atom_site_fract_x
_atom_site_fract_y
_atom_site_fract_z
Y1 0.0000 0.0000 0.0000
Ni1 0.0000 0.0000 0.5000
Ni2 0.2500 0.2500 0.2500
Ge1 0.2500 0.2500 0.7500
```

Values from the calculation:
Spin magnetization (μB per formula unit): 0.0

=====

Entry 9:
Density functional theory data (PBE) for Gd3Sn3IrPd2 after structural relaxation.

The structure in CIF format:
```
data_Gd3Sn3IrPd2
_chemical_formula_sum 'Gd3 Sn3 Ir1 Pd2'
_symmetry_space_group_name_H-M 'P -6 2 m'
_symmetry_Int_Tables_number 189
_symmetry_space_group_name_Hall 'P -6 -2'
_cell_length_a 7.5362
_cell_length_b 7.5362
_cell_length_c 4.0369
_cell_angle_alpha 90.00
_cell_angle_beta 90.00
_cell_angle_gamma 120.00
loop_
_atom_site_label
_atom_site_fract_x
_atom_site_fract_y
_atom_site_fract_z
Gd1 0.0000 0.4042 0.0000
Sn1 0.0000 0.7452 0.5000
Ir1 0.0000 0.0000 0.0000
Pd1 0.3333 0.6667 0.5000
```

Values from the calculation:
Spin magnetization (μB per formula unit): 0.0

=====

Entry 10:
Density functional theory data (PBE) for KAgPtS3 after structural relaxation.

The structure in CIF format:
```
data_KAgPtS3
_chemical_formula_sum 'K4 Ag4 Pt4 S12'
_symmetry_space_group_name_H-M 'P n m a'
_symmetry_Int_Tables_number 62
_cell_length_a 13.7310
_cell_length_b 3.7793
_cell_length_c 10.1992
_cell_angle_alpha 90.00
_cell_angle_beta 90.00
_cell_angle_gamma 90.00
loop_
_symmetry_equiv_pos_as_xyz
'x,y,z'
'-x,-y,-z'
'-x+1/2,-y,z+1/2'
'x+1/2,y,-z+1/2'
'x+1/2,-y+1/2,-z+1/2'
'-x+1/2,y+1/2,z+1/2'
'-x,y+1/2,-z'
'x,-y+1/2,z'
loop_
_atom_site_label
_atom_site_fract_x
_atom_site_fract_y
_atom_site_fract_z
K1 0.1384 0.2500 0.0121
Ag1 0.1994 0.7500 0.2658
Pt1 0.0410 0.7500 0.6400
S1 0.0241 0.7500 0.2351
S2 0.0960 0.2500 0.5073
S3 0.1835 0.7500 0.7765
```

Values from the calculation:
Spin magnetization (μB per formula unit): 0.0
Offset from the most stable computed form (meV/atom): 0

=====

Entry 11:
Density functional theory data (PBE) for CsCu3PbSe4 after structural relaxation.

The structure in CIF format:
```
data_CsCu3PbSe4
_chemical_formula_sum 'Cs1 Cu3 Pb1 Se4'
_symmetry_space_group_name_H-M 'P -4 3 m'
_symmetry_Int_Tables_number 215
_symmetry_space_group_name_Hall 'P -4 2 3'
_cell_length_a 6.5502
_cell_length_b 6.5502
_cell_length_c 6.5502
_cell_angle_alpha 90.00
_cell_angle_beta 90.00
_cell_angle_gamma 90.00
loop_
_atom_site_label
_atom_site_fract_x
_atom_site_fract_y
_atom_site_fract_z
Cs1 0.0000 0.0000 0.0000
Cu1 0.0000 0.5000 0.5000
Pb1 0.5000 0.5000 0.5000
Se1 0.2752 0.2752 0.2752
```

=====

Entry 12:
Density functional theory data (PBE) for Nd2Sm after structural relaxation.

The structure in CIF format:
```
data_Nd2Sm
_chemical_formula_sum 'Nd8 Sm4'
_symmetry_space_group_name_H-M 'F m -3 m'
_symmetry_Int_Tables_number 225
_symmetry_space_group_name_Hall '-F 4 2 3'
_cell_length_a 7.8504
_cell_length_b 7.8504
_cell_length_c 7.8504
_cell_angle_alpha 90.00
_cell_angle_beta 90.00
_cell_angle_gamma 90.00
loop_
_atom_site_label
_atom_site_fract_x
_atom_site_fract_y
_atom_site_fract_z
Nd1 0.2500 0.2500 0.2500
Sm1 0.0000 0.0000 0.0000
```

Values from the calculation:
Spin magnetization (μB per formula unit): 0.0
Offset from the most stable computed form (meV/atom): 445
DFT formation energy (eV per atom): 0.6972

=====

DFT total energy for the records above, in order: -4.297 -6.530 -4.129 -7.675 -4.685 -7.010 -6.070 -5.768 -5.939 -4.188 -3.313 -4.048 eV per atom